{
  "formula": "Mg3Ga2Pd3",
  "functional": "GGA-PBE",
  "state": "optimized geometry",
  "e_tot_ev_per_cell": -62.1,
  "formation_enthalpy_0k_kj_per_mol_atoms": -56.0,
  "cell": [[-4.1645, -0.4191, -0.3224], [2.6751, -4.5981, -1.2470], [-0.5983, -3.7751, 12.6365]],
  "species": ["Pd", "Pd", "Mg", "Ga", "Pd", "Mg", "Ga", "Mg", "Mg", "Mg", "Pd", "Ga", "Pd", "Ga", "Pd", "Mg"],
  "frac_coords": [[0.6109, 0.2218, 0.4419], [0.5999, 0.1998, 0.7500], [0.9418, 0.8836, 0.1102], [0.7602, 0.5204, 0.5998], [0.3891, 0.7782, 0.5581], [0.6830, 0.3659, 0.2500], [0.2398, 0.4796, 0.0998], [0.0582, 0.1164, 0.6102], [0.0582, 0.1164, 0.8898], [0.9418, 0.8836, 0.3898], [0.4001, 0.8002, 0.2500], [0.2398, 0.4796, 0.4002], [0.3891, 0.7782, 0.9419], [0.7602, 0.5204, 0.9002], [0.6109, 0.2218, 0.0581], [0.3170, 0.6341, 0.7500]]
}